1.
The following is a PBE calculation of a geometry-optimized TbErThMg structure, from the Alexandria database.

a b c (Å): 3.578 3.578 9.207
angles (deg): 90.00 90.00 90.00
Positions (direct):
Tb: 0.000 0.000 0.000
Er: 0.000 0.000 0.520
Th: 0.500 0.500 0.262
Mg: 0.500 0.500 0.757

Values from the calculation:
Offset from the most stable computed form (eV per atom): 0.000
Raw total energy (eV for the cell shown): -18.38

***

2.
The following is a PBE calculation of a geometry-optimized Pu2ThAu3 structure, from the Alexandria database.

a b c (Å): 3.577 3.577 11.553
angles (deg): 90.00 90.00 90.00
Positions (direct):
Pu: 0.000 0.000 0.164
Pu: 0.000 0.000 0.836
Th: 0.000 0.000 0.500
Au: 0.500 0.500 0.000
Au: 0.500 0.500 0.331
Au: 0.500 0.500 0.669

Values from the calculation:
Raw total energy (eV for the cell shown): -48.61

***

Question: Look up the raw total energy of the first one.
Answer: -18.38 eV for the cell shown

***

Question: Which of these has the lowest raw total energy?
Answer: Pu2ThAu3

***

Question: Among the records above, which one has the lowest raw total energy?
Answer: Pu2ThAu3